A plane-wave DFT calculation with PBE+U was carried out for an optimized crystal structure of Li2Ti3CrO8.

Geometry as CIF:
```
data_Li2Ti3CrO8
_cell_length_a 5.991
_cell_length_b 5.991
_cell_length_c 5.991
_cell_angle_alpha 59.68
_cell_angle_beta 59.68
_cell_angle_gamma 59.68
_symmetry_space_group_name_H-M 'P 1'
_symmetry_Int_Tables_number 1
_symmetry_space_group_name_Hall 'P 1'
loop_
_atom_site_label
_atom_site_type_symbol
_atom_site_fract_x
_atom_site_fract_y
_atom_site_fract_z
Li1 Li 0.125 0.125 0.125
Li2 Li 0.875 0.875 0.875
Ti1 Ti 0.000 0.500 0.500
Ti2 Ti 0.500 0.000 0.500
Ti3 Ti 0.500 0.500 0.000
Cr1 Cr 0.500 0.500 0.500
O1 O 0.261 0.261 0.712
O2 O 0.261 0.712 0.261
O3 O 0.262 0.262 0.262
O4 O 0.288 0.739 0.739
O5 O 0.712 0.261 0.261
O6 O 0.738 0.738 0.738
O7 O 0.739 0.288 0.739
O8 O 0.739 0.739 0.288
```

## Properties
The energy above the most stable polymorph in this dataset comes out at 0.0 meV per atom. The magnetization is 2.2 μB/f.u. The space group is R-3m. As for the total energy: -8.0027 eV per atom.